(1)
A geometry-optimized SrSmZn structure, computed with PBE.

a b c (Å): 5.2366 5.2366 5.2366
angles (deg): 60.00 60.00 60.00
Last column: nearest neighbours and their distance in Å.
Element x y z (fractional)
Sr 0.0000 0.0000 0.0000  4 Zn 3.21
Sm 0.5000 0.5000 0.5000  4 Zn 3.21
Zn 0.7500 0.7500 0.7500  4 Sr 3.21, 4 Sm 3.21

Calculated values
**Volume**: 101.5 Å³/cell
**DFT total energy**: -2.4463 eV/atom

(2)
A geometry-optimized Co2SnPt structure, computed with PBE.

a b c (Å): 4.3616 4.3616 4.3616
angles (deg): 60.00 60.00 60.00
Last column: nearest neighbours and their distance in Å.
Element x y z (fractional)
Co 0.0000 0.0000 0.0000  4 Pt 2.67, 4 Co 2.67
Co 0.2500 0.2500 0.2500  4 Sn 2.67, 4 Co 2.67
Sn 0.5000 0.5000 0.5000  4 Co 2.67, 4 Pt 2.67
Pt 0.7500 0.7500 0.7500  4 Sn 2.67, 4 Co 2.67

Calculated values
**Volume**: 58.7 Å³/cell
**DFT total energy**: -6.0294 eV/atom

Theoretical density / Mg/m³: 4.962, 12.217